Here is a relaxed structure of Ac2PmAu4 from Alexandria via LeMat-Bulk. Energies are from GGA-PBE.

Unit cell a=7.7579 b=7.7579 c=7.7579 alpha=138.07 beta=138.07 gamma=60.79
Fractional positions:
1 Ac 0.2139 0.2139 0.0000
2 Ac 0.7861 0.7861 0.0000
3 Pm 0.5000 0.5000 0.0000
4 Au 0.1097 0.6097 0.5000
5 Au 0.3903 0.8903 0.5000
6 Au 0.6097 0.1097 0.5000
7 Au 0.8903 0.3903 0.5000

**Symmetry**: I4/mmm
**Calculated density**: 11.168 g/cm³
**Crystal system**: tetragonal
**M_tot**: 0.0000 μB/atom
**Calculated total energy**: -4.396 eV/atom